Below is a geometry-optimized KSmBe structure, with properties calculated at the PBE level.

The structure in POSCAR format:
```
KSmBe
1.0
1.452 1.221 4.733
-1.627 4.340 2.126
-3.376 -0.141 3.819
Be K Sm
1 1 1
direct
0.250 0.250 0.250
0.750 0.750 0.750
0.000 0.000 0.000
```

**E above lowest polymorph**: 0 meV/atom

=====

Below is a geometry-optimized KTaBe structure, with properties calculated at the PBE level.

The structure in POSCAR format:
```
KTaBe
1.0
0.000 3.257 3.257
3.257 0.000 3.257
3.257 3.257 0.000
Be K Ta
1 1 1
direct
0.000 0.000 0.000
0.250 0.250 0.250
0.750 0.750 0.750
```

**E above lowest polymorph**: 0 meV/atom

=====

Below is a geometry-optimized KTbBe structure, with properties calculated at the PBE level.

The structure in POSCAR format:
```
KTbBe
1.0
0.000 3.499 3.499
3.499 0.000 3.499
3.499 3.499 0.000
Be K Tb
1 1 1
direct
0.500 0.500 0.500
0.250 0.250 0.250
0.000 0.000 0.000
```

**E_tot**: -1.6631 eV/atom

=====

Number 1: magnetization 0.28 μB per atom. Number 2: magnetization 0.01 μB per atom. Number 3: magnetization 0.00 μB per atom.